No. 1
La8Nd5Dy | PBE | relaxed

Unit cell a=8.7426 b=8.7426 c=8.7426 alpha=110.54 beta=107.36 gamma=110.54
Fractional coordinates of all 14 atoms:
Nd 0.5000 0.0000 0.5000
La 0.1749 0.7324 0.0676
La 0.9324 0.1073 0.6648
Dy 0.2500 0.5000 0.7500
Nd 0.0269 0.3076 0.1297
Nd 0.8703 0.8973 0.1780
La 0.0773 0.7379 0.4759
La 0.7380 0.2621 0.3394
Nd 0.8220 0.6924 0.7193
La 0.6606 0.3986 0.9227
Nd 0.2807 0.1027 0.9731
La 0.5574 0.8927 0.8251
La 0.3352 0.2676 0.4426
La 0.5241 0.6014 0.2620

For the total DFT energy (no corrections), the calculation gives -4.63 eV per atom. The formation energy from the elements is 220 meV/atom. The calculation puts the mass density at 6.4 g/cm³.

***

No. 2
PuMnZn | PBE | relaxed

Unit cell a=5.4510 b=4.4513 c=5.1925 alpha=73.80 beta=58.44 gamma=57.91
Fractional coordinates of all 6 atoms:
Zn 0.4570 0.0843 0.5523
Zn 0.0225 0.5849 0.4211
Pu 0.7941 0.0842 0.8791
Pu 0.6856 0.5850 0.0944
Mn 0.1778 0.0846 0.1114
Mn 0.3021 0.5843 0.8621

For the total DFT energy (no corrections), the calculation gives -7.96 eV per atom. The formation energy from the elements is 296 meV/atom. The calculation puts the mass density at 13.3 g/cm³.

***

No. 3
LiHoRuPb | PBE | relaxed

Unit cell a=4.7826 b=4.7826 c=4.7826 alpha=60.00 beta=60.00 gamma=60.00
Fractional coordinates of all 4 atoms:
Li 0.7500 0.7500 0.7500
Pb 0.0000 0.0000 0.0000
Ru 0.2500 0.2500 0.2500
Ho 0.5000 0.5000 0.5000

For the total DFT energy (no corrections), the calculation gives -5.09 eV per atom. The formation energy from the elements is -218 meV/atom. The calculation puts the mass density at 10.3 g/cm³.